# CdSiSe2

A relaxed structure of CdSiSe2 (PBEsol, Alexandria).

```
4
Lattice="6.2480 -1.7767 0.0000 6.2480 1.7767 0.0000 -0.1433 0.0000 4.0105" Properties=species:S:1:pos:R:3 pbc="T T T"
Cd 0.0000 0.0000 0.0000
Si 2.8566 0.0000 2.3863
Se 6.9969 0.0000 2.0346
Se 9.8577 0.0000 0.0405
```

space group = Cm (8)



# Sr2CdSe

A relaxed structure of Sr2CdSe (PBEsol, Alexandria).

```
4
Lattice="6.4257 0.0000 0.0000 0.0000 3.2106 3.2110 0.0000 -3.2106 3.2110" Properties=species:S:1:pos:R:3 pbc="T T T"
Sr 0.0000 0.0000 0.0000
Sr 3.2128 0.0000 3.2042
Cd 3.2128 0.0000 6.4144
Se 0.0000 0.0000 3.2109
```

space group = Amm2 (38)



# SrCd2Se

A relaxed structure of SrCd2Se (PBEsol, Alexandria).

```
4
Lattice="0.0000 2.9861 6.2718 2.9600 0.0000 6.2718 2.9600 2.9861 0.0000" Properties=species:S:1:pos:R:3 pbc="T T T"
Sr 0.0000 0.0000 0.0000
Cd 1.4800 0.0000 3.1359
Cd 1.4800 2.9861 3.1359
Se 2.9600 2.9861 6.2718
```

space group = Fmmm (69)



# SrCd2Se

A relaxed structure of SrCd2Se (PBEsol, Alexandria).

```
4
Lattice="4.3635 0.0000 0.0000 0.0000 4.0465 0.0000 -2.0675 0.0000 6.2391" Properties=species:S:1:pos:R:3 pbc="T T T"
Sr 0.0000 0.0000 0.0000
Cd 0.1197 0.0000 3.5581
Cd 2.2975 2.0232 3.1386
Se 2.1833 2.0232 0.3856
```

space group = Pm (6)



# Sr2CdSe

A relaxed structure of Sr2CdSe (PBEsol, Alexandria).

```
4
Lattice="0.0000 3.9001 3.9001 3.9001 0.0000 3.9001 3.9001 3.9001 0.0000" Properties=species:S:1:pos:R:3 pbc="T T T"
Sr 1.9500 1.9500 1.9500
Sr 5.8501 5.8501 5.8501
Cd 0.0000 0.0000 0.0000
Se 3.9001 3.9001 3.9001
```

space group = Fm-3m (225)



# SrCdSe3

A relaxed structure of SrCdSe3 (PBEsol, Alexandria).

```
5
Lattice="5.6648 0.0000 0.0000 0.0000 5.6648 0.0000 0.0000 0.0000 5.6648" Properties=species:S:1:pos:R:3 pbc="T T T"
Sr 0.0000 0.0000 0.0000
Cd 2.8324 2.8324 2.8324
Se 0.0000 0.0000 2.8324
Se 0.0000 2.8324 0.0000
Se 2.8324 0.0000 0.0000
```

space group = Pm-3m (221)



# SrCdSe2

A relaxed structure of SrCdSe2 (PBEsol, Alexandria).

```
4
Lattice="-2.0694 2.0694 5.8505 2.0694 -2.0694 5.8505 2.0694 2.0694 -5.8505" Properties=species:S:1:pos:R:3 pbc="T T T"
Sr 0.0000 0.0000 0.0000
Cd 0.0000 2.0694 2.9252
Se 2.0694 0.0000 2.9252
Se 0.0000 0.0000 5.8505
```

space group = I-4m2 (119)



# SrTaCd2Se

A relaxed structure of SrTaCd2Se (PBEsol, Alexandria).

```
5
Lattice="5.3548 0.0000 0.0000 0.0000 5.3548 0.0000 0.0000 0.0000 4.8231" Properties=species:S:1:pos:R:3 pbc="T T T"
Sr 0.0000 0.0000 0.0000
Ta 2.6774 2.6774 0.0000
Cd 0.0000 2.6774 2.4116
Cd 2.6774 0.0000 2.4116
Se 2.6774 2.6774 2.4116
```

space group = P4/mmm (123)



# TaCd2Se

A relaxed structure of TaCd2Se (PBEsol, Alexandria).

```
4
Lattice="2.9311 0.0000 0.0000 0.0000 2.9311 0.0000 0.0000 0.0000 9.2591" Properties=species:S:1:pos:R:3 pbc="T T T"
Ta 0.0000 0.0000 0.0000
Cd 1.4655 1.4655 2.1607
Cd 1.4655 1.4655 7.0984
Se 0.0000 0.0000 4.6296
```

space group = P4/mmm (123)



# Ta3CdSe

A relaxed structure of Ta3CdSe (PBEsol, Alexandria).

```
5
Lattice="4.9247 0.0000 0.0000 0.0000 4.9247 0.0000 0.0000 0.0000 4.9247" Properties=species:S:1:pos:R:3 pbc="T T T"
Ta 0.0000 0.0000 2.4624
Ta 0.0000 2.4624 0.0000
Ta 2.4624 0.0000 0.0000
Cd 0.0000 0.0000 0.0000
Se 2.4624 2.4624 2.4624
```

space group = Pm-3m (221)



# TaCd3Se

A relaxed structure of TaCd3Se (PBEsol, Alexandria).

```
5
Lattice="5.3138 0.0000 0.0000 0.0000 5.3138 0.0000 0.0000 0.0000 5.3138" Properties=species:S:1:pos:R:3 pbc="T T T"
Ta 0.0000 0.0000 0.0000
Cd 0.0000 0.0000 2.6569
Cd 0.0000 2.6569 0.0000
Cd 2.6569 0.0000 0.0000
Se 2.6569 2.6569 2.6569
```

space group = Pm-3m (221)



# TaCd2Se

A relaxed structure of TaCd2Se (PBEsol, Alexandria).

```
4
Lattice="1.6031 0.9255 9.0273 -1.6031 0.9255 9.0273 0.0000 -1.8510 9.0273" Properties=species:S:1:pos:R:3 pbc="T T T"
Ta 0.0000 0.0000 0.0000
Cd 0.0000 0.0000 6.6879
Cd 0.0000 0.0000 13.3467
Se 0.0000 0.0000 19.7873
```

space group = R3m (160)



# TaCd2Se

A relaxed structure of TaCd2Se (PBEsol, Alexandria).

```
4
Lattice="2.6281 -4.5848 0.0000 2.6281 4.5848 0.0000 0.0000 0.0000 3.2292" Properties=species:S:1:pos:R:3 pbc="T T T"
Ta 0.0000 0.0000 0.0000
Cd 1.3140 2.2924 1.6146
Cd 1.3140 -2.2924 1.6146
Se 2.6281 0.0000 0.0000
```

space group = Cmmm (65)



# TaCd2Se

A relaxed structure of TaCd2Se (PBEsol, Alexandria).

```
4
Lattice="1.6519 -2.4303 0.0000 1.6519 2.4303 0.0000 0.0000 0.0000 10.5504" Properties=species:S:1:pos:R:3 pbc="T T T"
Ta 0.0000 0.0000 0.0000
Cd 0.0000 0.0000 5.4689
Cd 1.6519 0.0000 8.1083
Se 1.6519 0.0000 1.9428
```

space group = Cmm2 (35)



# TaCd2Se

A relaxed structure of TaCd2Se (PBEsol, Alexandria).

```
4
Lattice="-1.5467 2.5051 5.4759 1.5467 -2.5051 5.4759 1.5467 2.5051 -5.4759" Properties=species:S:1:pos:R:3 pbc="T T T"
Ta 0.0000 0.0000 0.0000
Cd 1.5467 0.0000 2.5575
Cd 0.0000 0.0000 5.9191
Se 0.0000 2.5051 3.5147
```

space group = Imm2 (44)



# CdTcSe3

A relaxed structure of CdTcSe3 (PBEsol, Alexandria).

```
5
Lattice="5.0745 0.0000 0.0000 0.0000 5.0745 0.0000 0.0000 0.0000 5.0745" Properties=species:S:1:pos:R:3 pbc="T T T"
Cd 0.0000 0.0000 0.0000
Tc 2.5372 2.5372 2.5372
Se 0.0000 0.0000 2.5372
Se 0.0000 2.5372 0.0000
Se 2.5372 0.0000 0.0000
```

space group = Pm-3m (221)



# CdTc3Se

A relaxed structure of CdTc3Se (PBEsol, Alexandria).

```
5
Lattice="4.9741 0.0000 0.0000 0.0000 4.9741 0.0000 0.0000 0.0000 4.9741" Properties=species:S:1:pos:R:3 pbc="T T T"
Cd 0.0000 0.0000 0.0000
Tc 0.0000 0.0000 2.4870
Tc 0.0000 2.4870 0.0000
Tc 2.4870 0.0000 0.0000
Se 2.4870 2.4870 2.4870
```

space group = Pm-3m (221)



# CdTeSe2

A relaxed structure of CdTeSe2 (PBEsol, Alexandria).

```
4
Lattice="1.9590 -3.5258 0.0000 1.9590 3.5258 0.0000 0.0000 0.0000 7.6882" Properties=species:S:1:pos:R:3 pbc="T T T"
Cd 0.0000 0.0000 0.0000
Te 1.9590 0.0000 5.5256
Se 0.0000 0.0000 3.6166
Se 1.9590 0.0000 1.7735
```

space group = Cmm2 (35)



# CdTeSe2

A relaxed structure of CdTeSe2 (PBEsol, Alexandria).

```
4
Lattice="4.1575 0.0000 0.0000 0.0000 4.1575 0.0000 0.0000 0.0000 5.6456" Properties=species:S:1:pos:R:3 pbc="T T T"
Cd 0.0000 0.0000 0.0000
Te 2.0788 2.0788 2.8228
Se 0.0000 0.0000 2.8228
Se 2.0788 2.0788 0.0000
```

space group = P4/mmm (123)



# Cd2TeSe

A relaxed structure of Cd2TeSe (PBEsol, Alexandria).

```
8
Lattice="-3.1428 3.1428 6.2710 3.1428 -3.1428 6.2710 3.1428 3.1428 -6.2710" Properties=species:S:1:pos:R:3 pbc="T T T"
Cd 4.7142 1.4373 -1.5678
Cd 1.4373 1.5714 1.5678
Cd -1.5714 1.7055 4.7033
Cd 1.7055 1.5714 7.8388
Te 3.1428 0.0000 3.1355
Te 0.0000 0.0000 6.2710
Se 0.0000 0.0000 0.0000
Se 0.0000 3.1428 3.1355
```

space group = I-42d (122)



# Cd2TeSe

A relaxed structure of Cd2TeSe (PBEsol, Alexandria).

```
4
Lattice="2.2223 1.2830 7.2610 -2.2223 1.2830 7.2610 0.0000 -2.5660 7.2610" Properties=species:S:1:pos:R:3 pbc="T T T"
Cd 0.0000 0.0000 0.0000
Cd 0.0000 0.0000 10.6681
Te 0.0000 0.0000 18.9756
Se 0.0000 0.0000 8.0371
```

space group = R3m (160)



# Cd2TeSe

A relaxed structure of Cd2TeSe (PBEsol, Alexandria).

```
4
Lattice="4.4411 0.0000 0.0000 -2.2205 3.8461 0.0000 0.0000 0.0000 7.2719" Properties=species:S:1:pos:R:3 pbc="T T T"
Cd 0.0000 0.0000 0.0000
Cd 0.0000 2.5641 3.8620
Te 0.0000 0.0000 2.8116
Se 0.0000 2.5641 6.4962
```

space group = P3m1 (156)



# Cd2TeSe

A relaxed structure of Cd2TeSe (PBEsol, Alexandria).

```
4
Lattice="4.4481 0.0000 0.0000 0.0000 4.4481 0.0000 0.0000 0.0000 6.2700" Properties=species:S:1:pos:R:3 pbc="T T T"
Cd 0.0000 2.2241 1.4585
Cd 2.2241 0.0000 4.8115
Te 0.0000 0.0000 3.1350
Se 2.2241 2.2241 0.0000
```

space group = P-4m2 (115)



# CdTeSe2

A relaxed structure of CdTeSe2 (PBEsol, Alexandria).

```
4
Lattice="-1.9355 1.9355 7.5516 1.9355 -1.9355 7.5516 1.9355 1.9355 -7.5516" Properties=species:S:1:pos:R:3 pbc="T T T"
Cd 0.0000 0.0000 0.0000
Te 0.0000 0.0000 7.5516
Se 1.9355 0.0000 3.7758
Se 0.0000 1.9355 3.7758
```

space group = I4/mmm (139)



# Cd2TeSe

A relaxed structure of Cd2TeSe (PBEsol, Alexandria).

```
4
Lattice="3.9632 0.0000 0.0000 0.0000 3.9632 0.0000 0.0000 0.0000 6.7199" Properties=species:S:1:pos:R:3 pbc="T T T"
Cd 0.0000 0.0000 0.0000
Cd 1.9816 1.9816 3.0772
Te 1.9816 1.9816 5.9306
Se 0.0000 0.0000 2.6301
```

space group = P4mm (99)



# Cd2TeSe

A relaxed structure of Cd2TeSe (PBEsol, Alexandria).

```
4
Lattice="-2.4829 2.4829 3.7710 2.4829 -2.4829 3.7710 2.4829 2.4829 -3.7710" Properties=species:S:1:pos:R:3 pbc="T T T"
Cd 2.4829 0.0000 1.8855
Cd 0.0000 2.4829 1.8855
Te 0.0000 0.0000 0.0000
Se 0.0000 0.0000 3.7710
```

space group = I4/mmm (139)



# Ti2CdSe

A relaxed structure of Ti2CdSe (PBEsol, Alexandria).

```
4
Lattice="0.0000 3.2379 3.2379 3.2379 0.0000 3.2379 3.2379 3.2379 0.0000" Properties=species:S:1:pos:R:3 pbc="T T T"
Ti 1.6189 1.6189 1.6189
Ti 4.8568 4.8568 4.8568
Cd 0.0000 0.0000 0.0000
Se 3.2379 3.2379 3.2379
```

space group = Fm-3m (225)



# TiCdSe2

A relaxed structure of TiCdSe2 (PBEsol, Alexandria).

```
8
Lattice="-2.9787 2.9787 5.9755 2.9787 -2.9787 5.9755 2.9787 2.9787 -5.9755" Properties=species:S:1:pos:R:3 pbc="T T T"
Ti 0.0000 0.0000 0.0000
Ti 0.0000 2.9787 2.9877
Cd 2.9787 0.0000 2.9877
Cd 0.0000 0.0000 5.9755
Se 4.4680 1.3523 -1.4939
Se 1.3523 1.4893 1.4939
Se -1.4893 1.6264 4.4816
Se 1.6264 1.4893 7.4694
```

space group = I-42d (122)



# TlCdSe2

A relaxed structure of TlCdSe2 (PBEsol, Alexandria).

```
4
Lattice="5.2923 0.0000 0.0000 0.0000 5.2923 0.0000 0.0000 0.0000 3.2668" Properties=species:S:1:pos:R:3 pbc="T T T"
Tl 0.0000 0.0000 0.0000
Cd 2.6462 2.6462 0.0000
Se 0.0000 2.6462 1.6334
Se 2.6462 0.0000 1.6334
```

space group = P4/mmm (123)



# Tl2CdSe

A relaxed structure of Tl2CdSe (PBEsol, Alexandria).

```
4
Lattice="0.0000 3.7248 3.7248 3.7248 0.0000 3.7248 3.7248 3.7248 0.0000" Properties=species:S:1:pos:R:3 pbc="T T T"
Tl 0.0000 0.0000 0.0000
Tl 1.8624 1.8624 1.8624
Cd 3.7248 3.7248 3.7248
Se 5.5872 5.5872 5.5872
```

space group = F-43m (216)



Calculated values (eV/atom) of energy relative to the elements, uncorrected for the records, taken in order: -0.091; -0.887; -0.702; -0.732; -0.765; 0.243; -0.908; 0.543; 0.265; 2.269; 1.316; -0.157; 0.214; 0.044; 0.106; 1.254; 2.695; 0.110; -0.206; -0.467; -0.457; -0.454; -0.461; 0.183; -0.337; 0.049; -0.140; -0.496; -0.055; -0.019.